Computed, not measured: a relaxed structure of PmZrTc at the GGA-PBE level of DFT.

Output
The crystal system is cubic. The total DFT energy (no corrections) comes out at -0.2645 Ha/atom.

Unit cell a=4.670 b=4.670 c=4.670 alpha=60.00 beta=60.00 gamma=60.00
Fractional coordinates of all 3 atoms:
Pm 0.000 0.000 0.000
Zr 0.250 0.250 0.250
Tc 0.500 0.500 0.500

Computed, not measured: a relaxed structure of SrCuP at the GGA-PBE level of DFT.

Output
The crystal system is hexagonal. The total DFT energy (no corrections) comes out at -0.1465 Ha/atom.

Unit cell a=7.220 b=7.220 c=4.166 alpha=90.00 beta=90.00 gamma=120.00
Fractional coordinates of all 9 atoms:
Sr 0.000 0.624 0.000
Sr 0.376 0.376 0.000
Sr 0.624 0.000 0.000
Cu 0.000 0.000 0.000
Cu 0.333 0.667 0.500
Cu 0.667 0.333 0.500
P 0.000 0.308 0.500
P 0.308 0.000 0.500
P 0.692 0.692 0.500

Computed, not measured: a relaxed structure of CsDyTl at the GGA-PBE level of DFT.

Output
For the distance to the lowest polymorph of the same formula, the calculation gives 0.00 eV/f.u. The crystal system is cubic. The total DFT energy (no corrections) comes out at -0.0766 Ha/atom.

Unit cell a=5.770 b=5.770 c=5.770 alpha=60.00 beta=60.00 gamma=60.00
Fractional coordinates of all 3 atoms:
Cs 0.000 0.000 0.000
Dy 0.500 0.500 0.500
Tl 0.250 0.250 0.250

Computed, not measured: a relaxed structure of LuSiTcNi at the GGA-PBE level of DFT.

Output
For the distance to the lowest polymorph of the same formula, the calculation gives 0.00 eV/f.u. The crystal system is cubic. The total DFT energy (no corrections) comes out at -0.2491 Ha/atom.

Unit cell a=4.386 b=4.386 c=4.386 alpha=60.00 beta=60.00 gamma=60.00
Fractional coordinates of all 4 atoms:
Lu 0.000 0.000 0.000
Si 0.500 0.500 0.500
Tc 0.250 0.250 0.250
Ni 0.750 0.750 0.750

Computed, not measured: a relaxed structure of LaMg2Au2 at the GGA-PBE level of DFT.

Output
The crystal system is tetragonal. The total DFT energy (no corrections) comes out at -0.1316 Ha/atom.

Unit cell a=7.131 b=7.131 c=7.131 alpha=145.59 beta=145.59 gamma=49.46
Fractional coordinates of all 5 atoms:
La 0.000 0.000 0.000
Mg 0.250 0.750 0.500
Mg 0.750 0.250 0.500
Au 0.390 0.390 0.000
Au 0.610 0.610 0.000

Computed, not measured: a relaxed structure of CsAg3Te4Mo at the GGA-PBE level of DFT.

Output
The crystal system is cubic. The total DFT energy (no corrections) comes out at -0.1390 Ha/atom.

Unit cell a=6.978 b=6.978 c=6.978 alpha=90.00 beta=90.00 gamma=90.00
Fractional coordinates of all 9 atoms:
Cs 0.000 0.000 0.000
Ag 0.000 0.500 0.500
Ag 0.500 0.000 0.500
Ag 0.500 0.500 0.000
Te 0.284 0.284 0.284
Te 0.284 0.716 0.716
Te 0.716 0.284 0.716
Te 0.716 0.716 0.284
Mo 0.500 0.500 0.500